No. 1
# La3MnN5 | the Alexandria database | PBE | relaxed
# SG ... I4/mcm (140)
# Raw formation energy ... -1076 meV/atom
data_La3MnN5
_chemical_formula_sum 'La6 Mn2 N10'
_cell_length_a 6.8857
_cell_length_b 6.8857
_cell_length_c 7.4194
_cell_angle_alpha 117.65
_cell_angle_beta 117.65
_cell_angle_gamma 90.00
_space_group_name_H-M_alt 'P 1'
_space_group_IT_number 1
_space_group_name_Hall 'P 1'
loop_
_atom_site_label
_atom_site_type_symbol
_atom_site_fract_x
_atom_site_fract_y
_atom_site_fract_z
La1 La 0.8240 0.6760 0.0000
La2 La 0.7500 0.7500 0.5000
La3 La 0.6760 0.1760 0.0000
La4 La 0.2500 0.2500 0.5000
La5 La 0.1760 0.3240 0.0000
La6 La 0.3240 0.8240 0.0000
N1 N 0.4852 0.7023 0.6875
N2 N 0.5000 0.5000 0.0000
N3 N 0.9852 0.4852 0.6875
N4 N 0.5148 0.2977 0.3125
N5 N 0.7023 0.2023 0.6875
N6 N 0.0000 0.0000 0.0000
N7 N 0.2023 0.9852 0.6875
N8 N 0.2977 0.7977 0.3125
N9 N 0.0148 0.5148 0.3125
N10 N 0.7977 0.0148 0.3125
Mn1 Mn 0.2500 0.7500 0.5000
Mn2 Mn 0.7500 0.2500 0.5000

---

No. 2
# GeBrF2 | the Alexandria database | PBE | relaxed
# SG ... Fm-3m (225)
# Raw formation energy ... -683 meV/atom
data_GeBrF2
_chemical_formula_sum 'Ge1 Br1 F2'
_cell_length_a 4.4636
_cell_length_b 4.4636
_cell_length_c 4.4636
_cell_angle_alpha 60.00
_cell_angle_beta 60.00
_cell_angle_gamma 60.00
_space_group_name_H-M_alt 'P 1'
_space_group_IT_number 1
_space_group_name_Hall 'P 1'
loop_
_atom_site_label
_atom_site_type_symbol
_atom_site_fract_x
_atom_site_fract_y
_atom_site_fract_z
F1 F 0.7500 0.7500 0.7500
F2 F 0.2500 0.2500 0.2500
Ge1 Ge 0.0000 0.0000 0.0000
Br1 Br 0.5000 0.5000 0.5000

---

No. 3
# SnAsPd3 | the Alexandria database | PBE | relaxed
# SG ... Pmc2_1 (26)
# Offset from the most stable computed form ... 0.000 eV/atom
data_SnAsPd3
_chemical_formula_sum 'Sn2 As2 Pd6'
_cell_length_a 4.4016
_cell_length_b 5.7731
_cell_length_c 7.5528
_cell_angle_alpha 90.00
_cell_angle_beta 90.00
_cell_angle_gamma 90.00
_space_group_name_H-M_alt 'P 1'
_space_group_IT_number 1
_space_group_name_Hall 'P 1'
loop_
_atom_site_label
_atom_site_type_symbol
_atom_site_fract_x
_atom_site_fract_y
_atom_site_fract_z
Sn1 Sn 0.0000 0.1515 0.6428
Sn2 Sn 0.0000 0.6515 0.3572
Pd1 Pd 0.5000 0.3926 0.4271
Pd2 Pd 0.5000 0.8926 0.5729
Pd3 Pd 0.0000 0.6285 0.7217
Pd4 Pd 0.5000 0.3064 0.8039
Pd5 Pd 0.5000 0.8064 0.1961
Pd6 Pd 0.0000 0.1285 0.2783
As1 As 0.5000 0.7165 0.8765
As2 As 0.5000 0.2165 0.1235

---

What did we get for volume? Answer: 265.4 62.9 191.9 Å³ per cell, in the order shown.